# 1
# PBE SrPaS2O8, optimized geometry
# **Uncorrected formation energy**: -1839.9 meV/atom
# **Magnetic moment**: 0.9 μB/cell
data_SrPaS2O8
_cell_length_a 5.9379
_cell_length_b 5.9379
_cell_length_c 7.0488
_cell_angle_alpha 90.00
_cell_angle_beta 90.00
_cell_angle_gamma 120.00
_symmetry_space_group_name_H-M 'P -3 m 1'
_symmetry_Int_Tables_number 164
_symmetry_space_group_name_Hall '-P 3 2"'
loop_
_atom_site_label
_atom_site_fract_x
_atom_site_fract_y
_atom_site_fract_z
Sr1 0.0000 0.0000 0.0000
Pa1 0.0000 0.0000 0.5000
S1 0.3333 0.6667 0.2549
O1 0.1606 0.3212 0.2970
O2 0.3333 0.6667 0.0470

***

# 2
# PBE InMoP2, optimized geometry
# **Magnetic moment**: 0.0 μB/cell
# **DFT total energy**: -5.991 eV/atom
data_InMoP2
_cell_length_a 3.167
_cell_length_b 3.167
_cell_length_c 6.945
_cell_angle_alpha 90.00
_cell_angle_beta 90.00
_cell_angle_gamma 90.00
_symmetry_space_group_name_H-M 'P 4 m m'
_symmetry_Int_Tables_number 99
_symmetry_space_group_name_Hall 'P 4 -2'
loop_
_atom_site_label
_atom_site_fract_x
_atom_site_fract_y
_atom_site_fract_z
In1 0.000 0.000 0.000
Mo1 0.500 0.500 0.298
P1 0.000 0.000 0.449
P2 0.500 0.500 0.650

***

# 3
# PBE NaTmTl2Cl6, optimized geometry
# **Uncorrected formation energy**: -1717.7 meV/atom
# **Magnetic moment**: 0.0 μB/cell
data_NaTmTl2Cl6
_cell_length_a 7.344
_cell_length_b 7.639
_cell_length_c 12.810
_cell_angle_alpha 90.00
_cell_angle_beta 124.65
_cell_angle_gamma 90.00
_symmetry_space_group_name_H-M 'P 1 21/c 1'
_symmetry_Int_Tables_number 14
_symmetry_space_group_name_Hall '-P 2ybc'
loop_
_atom_site_label
_atom_site_fract_x
_atom_site_fract_y
_atom_site_fract_z
Na1 0.000 0.000 0.000
Tm1 0.500 0.000 0.500
Tl1 0.232 0.064 0.749
Cl1 0.170 0.192 0.458
Cl2 0.267 0.716 0.457
Cl3 0.345 0.020 0.260

***

# 4
# PBE ScCoTc2, optimized geometry
# **Magnetic moment**: 0.6 μB/cell
# **Energy above the lowest structure with this stoichiometry**: 174.1 meV/atom
data_ScCoTc2
_cell_length_a 9.000
_cell_length_b 2.805
_cell_length_c 4.851
_cell_angle_alpha 90.00
_cell_angle_beta 102.50
_cell_angle_gamma 90.00
_symmetry_space_group_name_H-M 'C 1 m 1'
_symmetry_Int_Tables_number 8
_symmetry_space_group_name_Hall 'C -2y'
loop_
_atom_site_label
_atom_site_fract_x
_atom_site_fract_y
_atom_site_fract_z
Sc1 0.000 0.000 0.000
Co1 0.246 0.500 0.152
Tc1 0.219 0.000 0.658
Tc2 0.455 0.000 0.480

***

# 5
# PBE TlAsBr2, optimized geometry
# **Uncorrected formation energy**: -14.2 meV/atom
# **Magnetic moment**: 0.0 μB/cell
# **Energy above the lowest structure with this stoichiometry**: 248.0 meV/atom
data_TlAsBr2
_cell_length_a 4.162
_cell_length_b 7.210
_cell_length_c 9.059
_cell_angle_alpha 90.00
_cell_angle_beta 90.00
_cell_angle_gamma 90.00
_symmetry_space_group_name_H-M 'C m m 2'
_symmetry_Int_Tables_number 35
_symmetry_space_group_name_Hall 'C 2 -2'
loop_
_atom_site_label
_atom_site_fract_x
_atom_site_fract_y
_atom_site_fract_z
Tl1 0.000 0.000 0.000
As1 0.000 0.500 0.752
Br1 0.000 0.000 0.584
Br2 0.000 0.500 0.219

***

# 6
# PBE In3GeIr, optimized geometry
# **Magnetic moment**: 0.0 μB/cell
# **Energy above the lowest structure with this stoichiometry**: 820.1 meV/atom
data_In3GeIr
_cell_length_a 5.133
_cell_length_b 5.133
_cell_length_c 5.133
_cell_angle_alpha 90.00
_cell_angle_beta 90.00
_cell_angle_gamma 90.00
_symmetry_space_group_name_H-M 'P m -3 m'
_symmetry_Int_Tables_number 221
_symmetry_space_group_name_Hall '-P 4 2 3'
loop_
_atom_site_label
_atom_site_fract_x
_atom_site_fract_y
_atom_site_fract_z
In1 0.000 0.000 0.500
Ge1 0.000 0.000 0.000
Ir1 0.500 0.500 0.500

***

# 7
# PBE Zn2SnTe2, optimized geometry
# **Uncorrected formation energy**: 11.6 meV/atom
# **Magnetic moment**: 0.0 μB/cell
data_Zn2SnTe2
_cell_length_a 5.434
_cell_length_b 5.434
_cell_length_c 8.795
_cell_angle_alpha 90.00
_cell_angle_beta 90.00
_cell_angle_gamma 90.00
_symmetry_space_group_name_H-M 'I 4/m m m'
_symmetry_Int_Tables_number 139
_symmetry_space_group_name_Hall '-I 4 2'
loop_
_atom_site_label
_atom_site_fract_x
_atom_site_fract_y
_atom_site_fract_z
Zn1 0.000 0.000 0.138
Sn1 0.000 0.000 0.500
Te1 0.000 0.500 0.250

***

# 8
# PBE Mg2ZnIr, optimized geometry
# **Magnetic moment**: 0.0 μB/cell
# **DFT total energy**: -3.406 eV/atom
data_Mg2ZnIr
_cell_length_a 3.285
_cell_length_b 4.683
_cell_length_c 8.780
_cell_angle_alpha 90.00
_cell_angle_beta 90.00
_cell_angle_gamma 90.00
_symmetry_space_group_name_H-M 'C m m m'
_symmetry_Int_Tables_number 65
_symmetry_space_group_name_Hall '-C 2 2'
loop_
_atom_site_label
_atom_site_fract_x
_atom_site_fract_y
_atom_site_fract_z
Mg1 0.000 0.000 0.232
Zn1 0.000 0.500 0.500
Ir1 0.000 0.500 0.000

***

# 9
# PBE Ac5PmPb4, optimized geometry
# **Magnetic moment**: 0.0 μB/cell
# **DFT total energy**: -4.374 eV/atom
data_Ac5PmPb4
_cell_length_a 17.821
_cell_length_b 5.736
_cell_length_c 7.787
_cell_angle_alpha 90.00
_cell_angle_beta 90.90
_cell_angle_gamma 90.00
_symmetry_space_group_name_H-M 'C 1 2/m 1'
_symmetry_Int_Tables_number 12
_symmetry_space_group_name_Hall '-C 2y'
loop_
_atom_site_label
_atom_site_fract_x
_atom_site_fract_y
_atom_site_fract_z
Ac1 0.000 0.000 0.000
Ac2 0.165 0.500 0.999
Ac3 0.166 0.500 0.506
Pm1 0.000 0.000 0.500
Pb1 0.007 0.500 0.262
Pb2 0.173 0.000 0.748

***

# 10
# PBE Pu2Tl3AgTe6, optimized geometry
# **Uncorrected formation energy**: -536.2 meV/atom
# **Magnetic moment**: 16.3 μB/cell
data_Pu2Tl3AgTe6
_cell_length_a 7.612
_cell_length_b 13.237
_cell_length_c 8.486
_cell_angle_alpha 90.00
_cell_angle_beta 107.33
_cell_angle_gamma 90.00
_symmetry_space_group_name_H-M 'C 1 2/m 1'
_symmetry_Int_Tables_number 12
_symmetry_space_group_name_Hall '-C 2y'
loop_
_atom_site_label
_atom_site_fract_x
_atom_site_fract_y
_atom_site_fract_z
Pu1 0.000 0.166 0.000
Tl1 0.000 0.000 0.500
Tl2 0.000 0.332 0.500
Ag1 0.000 0.500 0.000
Te1 0.236 0.000 0.212
Te2 0.239 0.331 0.214

***

# 11
# PBE AcPHOs, optimized geometry
# **Magnetic moment**: 0.0 μB/cell
# **DFT total energy**: -6.779 eV/atom
data_AcPHOs
_cell_length_a 4.118
_cell_length_b 4.118
_cell_length_c 8.424
_cell_angle_alpha 90.00
_cell_angle_beta 90.00
_cell_angle_gamma 90.00
_symmetry_space_group_name_H-M 'P 4/n m m'
_symmetry_Int_Tables_number 129
loop_
_symmetry_equiv_pos_as_xyz
'x,y,z'
'-x,-y,-z'
'-y+1/2,x,z'
'y+1/2,-x,-z'
'-x+1/2,-y+1/2,z'
'x+1/2,y+1/2,-z'
'y,-x+1/2,z'
'-y,x+1/2,-z'
'x+1/2,-y,-z'
'-x+1/2,y,z'
'-y,-x,-z'
'y,x,z'
'-x,y+1/2,-z'
'x,-y+1/2,z'
'y+1/2,x+1/2,-z'
'-y+1/2,-x+1/2,z'
loop_
_atom_site_label
_atom_site_fract_x
_atom_site_fract_y
_atom_site_fract_z
Ac1 0.250 0.250 0.181
P1 0.250 0.250 0.641
H1 0.250 0.750 0.000
Os1 0.250 0.750 0.500

***

# 12
# PBE Pm3Sb3H2, optimized geometry
# **Magnetic moment**: 0.0 μB/cell
# **DFT total energy**: -4.937 eV/atom
data_Pm3Sb3H2
_cell_length_a 4.128
_cell_length_b 11.728
_cell_length_c 15.371
_cell_angle_alpha 90.00
_cell_angle_beta 90.00
_cell_angle_gamma 90.00
_symmetry_space_group_name_H-M 'C m c m'
_symmetry_Int_Tables_number 63
_symmetry_space_group_name_Hall '-C 2c 2'
loop_
_atom_site_label
_atom_site_fract_x
_atom_site_fract_y
_atom_site_fract_z
Pm1 0.000 0.144 0.052
Pm2 0.000 0.158 0.750
Sb1 0.000 0.122 0.250
Sb2 0.000 0.434 0.106
H1 0.000 0.270 0.563